A relaxed MgZr2Ag crystal, computed with PBE.

a = 3.4794 Å, b = 3.4794 Å, c = 6.9467 Å
α = 90.00°, β = 90.00°, γ = 90.00°
Sites, in units of the cell vectors:
Mg 0.0000 0.0000 0.0000
Zr 0.5000 0.5000 0.2527
Zr 0.5000 0.5000 0.7473
Ag 0.0000 0.0000 0.5000

## Properties
Its distance to the lowest polymorph of the same formula is 0.1795 eV/atom. Its formation energy is 0.068 eV per atom.